1.
CdSb2MoP GGA-PBE relaxed; energy relative to the elements, uncorrected = 3.7 eV per formula unit; size of the total moment = 1.69 μB per cell
1.0
5.314 0.000 0.000
0.000 5.314 0.000
0.000 0.000 4.551
Cd Sb Mo P
1 2 1 1
direct
0.000 0.000 0.000 Cd
0.000 0.500 0.500 Sb
0.500 0.000 0.500 Sb
0.500 0.500 0.000 Mo
0.500 0.500 0.500 P

=====

2.
BeCuCl2 GGA-PBE relaxed; energy relative to the elements, uncorrected = -1.1 eV per formula unit; size of the total moment = 0.00 μB per cell
1.0
-1.546 2.062 6.370
1.546 -2.062 6.370
1.546 2.062 -6.370
Be Cu Cl
1 1 2
direct
0.000 0.000 0.000 Be
0.500 0.500 0.000 Cu
0.120 0.620 0.500 Cl
0.880 0.380 0.500 Cl

=====

3.
LiCd5Ag2 GGA-PBE relaxed; DFT formation energy = -0.1003 eV/atom; size of the total moment = 0.00 μB per cell
1.0
-2.194 2.194 8.286
2.194 -2.194 8.286
2.194 2.194 -8.286
Li Cd Ag
1 5 2
direct
0.000 0.000 0.000 Li
0.127 0.627 0.500 Cd
0.373 0.873 0.500 Cd
0.500 0.500 0.000 Cd
0.627 0.127 0.500 Cd
0.873 0.373 0.500 Cd
0.247 0.247 0.000 Ag
0.753 0.753 0.000 Ag